(1)
TmNbBi | PBE | optimized geometry

Calculated values
The calculation puts the energy of formation from the pure elements at -0.109 eV/atom. The value obtained for the electronic total energy is -6.25 eV/atom.

Cell: 3.677 3.677 10.833 Å, 90.00 90.00 90.00°
Space group P4/nmm (No. 129, origin choice 2)
Symmetry-distinct sites (fractional):
Tm: 0.250 0.250 0.102 (multiplicity 2)
Nb: 0.250 0.250 0.433 (multiplicity 2)
Bi: 0.250 0.250 0.712 (multiplicity 2)


(2)
Sr2TlCu | PBE | optimized geometry

Calculated values
The calculation puts the energy of formation from the pure elements at -0.084 eV/atom. The value obtained for the electronic total energy is -2.54 eV/atom.

Cell: 7.557 4.354 8.978 Å, 90.00 106.19 90.00°
Space group C2/m (No. 12)
Symmetry-distinct sites (fractional):
Sr: 0.239 0.000 0.216 (multiplicity 4)
Tl: 0.000 0.000 0.500 (multiplicity 2)
Cu: 0.000 0.500 0.000 (multiplicity 2)


(3)
TaGeRh2 | PBE | optimized geometry

Calculated values
The calculation puts the energy of formation from the pure elements at 0.227 eV/atom. The value obtained for the electronic total energy is -7.57 eV/atom.

Cell: 5.587 5.587 11.265 Å, 90.00 90.00 90.00°
Space group I-42d (No. 122)
Symmetry-distinct sites (fractional):
Ta: 0.000 0.000 0.000 (multiplicity 4)
Ge: 0.000 0.000 0.500 (multiplicity 4)
Rh: 0.237 0.250 0.625 (multiplicity 8)


(4)
Tb5Nd4In | PBE | optimized geometry

Calculated values
Its relative energy among the computed polymorphs is 70 meV/atom. The calculation puts the energy of formation from the pure elements at 0.076 eV/atom. The value obtained for the electronic total energy is -4.42 eV/atom.

Cell: 10.765 10.765 5.882 Å, 90.00 90.00 90.00°
Space group I4mm (No. 107)
Symmetry-distinct sites (fractional):
Tb: 0.000 0.000 0.000 (multiplicity 2)
Tb: 0.185 0.185 0.710 (multiplicity 8)
Nd: 0.000 0.311 0.206 (multiplicity 8)
In: 0.000 0.000 0.483 (multiplicity 2)


(5)
CsSiAs4 | PBE | optimized geometry

Calculated values
The calculation puts the formation energy without anion corrections at -0.0785 eV per atom. The value obtained for the electronic total energy is -4.22 eV/atom.

Cell: 13.141 8.254 7.736 Å, 90.00 103.07 90.00°
Space group C2/m (No. 12)
Symmetry-distinct sites (fractional):
Cs: 0.172 0.000 0.303 (multiplicity 4)
Si: 0.030 0.500 0.328 (multiplicity 4)
As: 0.000 0.277 0.500 (multiplicity 4)
As: 0.113 0.352 0.931 (multiplicity 8)
As: 0.184 0.500 0.216 (multiplicity 4)


(6)
Al2NiRu2 | PBE | optimized geometry

Calculated values
Its relative energy among the computed polymorphs is 0 meV/atom. The calculation puts the energy of formation from the pure elements at -0.241 eV/atom. The value obtained for the electronic total energy is -6.60 eV/atom.

Cell: 6.632 6.632 3.129 Å, 90.00 90.00 90.00°
Space group P4/mbm (No. 127)
Symmetry-distinct sites (fractional):
Al: 0.139 0.361 0.000 (multiplicity 4)
Ni: 0.000 0.000 0.000 (multiplicity 2)
Ru: 0.162 0.662 0.500 (multiplicity 4)


(7)
Li2DyErTl4 | PBE | optimized geometry

Calculated values
The calculation puts the energy of formation from the pure elements at -0.310 eV/atom. The value obtained for the electronic total energy is -3.12 eV/atom.

Cell: 5.1786 5.1786 25.2657 Å, 90.00 90.00 120.00°
Space group R-3m (No. 166, hexagonal axes)
Symmetry-distinct sites (fractional):
Li: 0.0000 0.0000 0.2499 (multiplicity 6)
Dy: 0.0000 0.0000 0.0000 (multiplicity 3)
Er: 0.0000 0.0000 0.5000 (multiplicity 3)
Tl: 0.0000 0.0000 0.1255 (multiplicity 6)
Tl: 0.0000 0.0000 0.3754 (multiplicity 6)


(8)
HfTl2Cl2 | PBE | optimized geometry

Calculated values
Its relative energy among the computed polymorphs is 0 meV/atom. The calculation puts the formation energy without anion corrections at -0.4383 eV per atom. The value obtained for the electronic total energy is -4.11 eV/atom.

Cell: 6.737 6.737 6.356 Å, 90.00 90.00 90.00°
Space group P4/mbm (No. 127)
Symmetry-distinct sites (fractional):
Hf: 0.000 0.000 0.000 (multiplicity 2)
Tl: 0.215 0.285 0.500 (multiplicity 4)
Cl: 0.183 0.683 0.000 (multiplicity 4)


(9)
NiWCl3 | PBE | optimized geometry

Calculated values
Its relative energy among the computed polymorphs is 129 meV/atom. The calculation puts the formation energy without anion corrections at 0.7922 eV per atom. The value obtained for the electronic total energy is -4.06 eV/atom.

Cell: 4.632 4.632 4.632 Å, 90.00 90.00 90.00°
Space group Pm-3m (No. 221)
Symmetry-distinct sites (fractional):
Ni: 0.000 0.000 0.000 (multiplicity 1)
W: 0.500 0.500 0.500 (multiplicity 1)
Cl: 0.000 0.000 0.500 (multiplicity 3)


(10)
Mg5Zn2Hg2 | PBE | optimized geometry

Calculated values
The calculation puts the energy of formation from the pure elements at -0.118 eV/atom. The value obtained for the electronic total energy is -1.35 eV/atom.

Cell: 14.618 7.234 7.206 Å, 90.00 90.00 90.00°
Space group Cmce (No. 64)
Symmetry-distinct sites (fractional):
Mg: 0.000 0.000 0.000 (multiplicity 4)
Mg: 0.131 0.172 0.327 (multiplicity 16)
Zn: 0.000 0.125 0.626 (multiplicity 8)
Hg: 0.212 0.000 0.000 (multiplicity 8)


(11)
NbTlF2 | PBE | optimized geometry

Calculated values
Its relative energy among the computed polymorphs is 840 meV/atom. The calculation puts the formation energy without anion corrections at -0.6200 eV per atom. The value obtained for the electronic total energy is -4.66 eV/atom.

Cell: 6.321 6.321 6.321 Å, 90.00 90.00 90.00°
Space group Fm-3m (No. 225)
Symmetry-distinct sites (fractional):
Nb: 0.000 0.000 0.000 (multiplicity 4)
Tl: 0.000 0.000 0.500 (multiplicity 4)
F: 0.250 0.250 0.250 (multiplicity 8)


(12)
ZrTa2ZnRe | PBE | optimized geometry

Calculated values
The calculation puts the energy of formation from the pure elements at 2.308 eV/atom. The value obtained for the electronic total energy is -6.89 eV/atom.

Cell: 4.791 4.791 4.731 Å, 90.00 90.00 90.00°
Space group P4/mmm (No. 123)
Symmetry-distinct sites (fractional):
Zr: 0.000 0.000 0.000 (multiplicity 1)
Ta: 0.000 0.500 0.000 (multiplicity 2)
Zn: 0.000 0.000 0.500 (multiplicity 1)
Re: 0.500 0.500 0.500 (multiplicity 1)